Crystalline Os2PtW at its relaxed geometry, computed with PBE.

```
Os2PtW
1.0
4.7406 0.0084 0.0000
-1.4848 4.5021 0.0000
0.0000 0.0000 2.8144
Os Pt W
2 1 1
Direct
0.0000 0.0000 0.0000
0.5000 0.5000 0.0000
0.5000 0.0000 0.5000
0.0000 0.5000 0.5000
```

As for the symmetry: Cmmm (65).

***

Crystalline OsPtW2 at its relaxed geometry, computed with PBE.

```
OsPtW2
1.0
-8.3704 2.5174 3.5759
-9.2097 0.3325 2.0638
-8.2244 -0.0531 4.6416
Os Pt W
1 1 2
Direct
0.4976 0.4976 0.4976
0.2503 0.2503 0.2503
0.9984 0.9984 0.9984
0.7537 0.7537 0.7537
```

As for the symmetry: R3m (160).

***

Crystalline OsPtW2 at its relaxed geometry, computed with PBE.

```
OsPtW2
1.0
-3.0312 1.7508 3.3705
-4.4437 -0.2065 1.9556
0.8265 -3.1672 3.5564
Os Pt W
1 1 2
Direct
0.2500 0.2500 0.2500
0.7500 0.7500 0.7500
0.9973 0.9973 0.0041
0.5027 0.5027 0.4959
```

As for the symmetry: C2/m (12).

***

no.,E_form (eV/atom)
1,0.08
2,0.09
3,0.06